Here is a relaxed structure of Tb6Pr5 from the Alexandria database. Energies are from GGA-PBE.

Geometry as extended XYZ:
```
11
Lattice="5.2952 1.0305 -1.7520 2.8472 8.2625 -4.9062 0.2048 -0.5028 9.5088" Properties=species:S:1:pos:R:3 pbc="T T T"
Tb 5.9962 7.2947 -5.1353
Tb 2.1462 1.9982 -1.5229
Tb 4.5580 1.0208 5.1990
Tb 3.1107 5.2984 3.3332
Tb 3.7892 7.7694 -2.3484
Tb 5.2365 3.4918 -0.4826
Pr 4.0712 4.6465 -3.3291
Pr 1.9505 5.3052 -0.1703
Pr 1.1015 2.4545 4.7729
Pr 5.0526 6.8333 0.9233
Pr 3.2946 1.9569 1.9273
```

Calculated values
The symmetry is No. 71. The calculation puts the volume at 379.5 Å³/f.u. For the energy, the calculation gives -4.5856 eV per atom. As for the formation energy: 0.112 eV/atom. For the total magnetization, the calculation gives 0.000 μB/atom.